BaTe2 after structural relaxation. Source: the Alexandria database, functional PBE.

Unit cell a=6.206 b=6.206 c=4.724 alpha=92.64 beta=92.64 gamma=44.17
Positions (direct):
1 Ba 0.000 0.000 0.000
2 Te 0.375 0.375 0.489
3 Te 0.625 0.625 0.511

Values from the calculation:
formation energy from raw total energies	-26.0	kcal/mol of atoms
crystal system	monoclinic
space group	No. 12
N(E_F)	0.2	states/eV/cell